Record 1
Entry from Alexandria via LeMat-Bulk: a relaxed RbNa2Pb2Br7 crystal (GGA-PBE).

## Properties
M_tot = 0.00 μB/atom
raw formation energy = -1.2584 eV/atom

Cell lengths 12.871, 12.871, 12.871 Å; angles 152.79, 38.88, 152.76 degrees
Sites, in units of the cell vectors:
1 Rb 0.000 0.000 0.000
2 Na 0.126 0.376 0.750
3 Na 0.626 0.376 0.250
4 Pb 0.259 0.882 0.377
5 Pb 0.506 0.882 0.623
6 Br 0.002 0.378 0.624
7 Br 0.128 0.875 0.253
8 Br 0.247 0.369 0.877
9 Br 0.327 0.827 0.500
10 Br 0.492 0.369 0.123
11 Br 0.623 0.875 0.747
12 Br 0.754 0.378 0.376



Record 2
Entry from Alexandria via LeMat-Bulk: a relaxed Rb2NaPbBr6 crystal (GGA-PBE).

## Properties
M_tot = 0.00 μB/atom
raw formation energy = -1.2339 eV/atom

Cell lengths 8.146, 8.146, 8.146 Å; angles 60.00, 60.00, 60.00 degrees
Sites, in units of the cell vectors:
1 Rb 0.250 0.250 0.250
2 Rb 0.750 0.750 0.750
3 Na 0.000 0.000 0.000
4 Pb 0.500 0.500 0.500
5 Br 0.251 0.251 0.749
6 Br 0.251 0.749 0.251
7 Br 0.251 0.749 0.749
8 Br 0.749 0.251 0.251
9 Br 0.749 0.251 0.749
10 Br 0.749 0.749 0.251



Record 3
Entry from Alexandria via LeMat-Bulk: a relaxed Rb2NaPbBr6 crystal (GGA-PBE).

## Properties
M_tot = 0.00 μB/atom
raw formation energy = -1.2374 eV/atom

Cell lengths 7.992, 11.562, 8.467 Å; angles 90.00, 90.00, 90.00 degrees
Sites, in units of the cell vectors:
1 Rb 0.250 0.028 0.202
2 Rb 0.250 0.472 0.202
3 Rb 0.750 0.528 0.798
4 Rb 0.750 0.972 0.798
5 Na 0.250 0.250 0.726
6 Na 0.750 0.750 0.274
7 Pb 0.250 0.750 0.766
8 Pb 0.750 0.250 0.234
9 Br 0.002 0.750 0.016
10 Br 0.026 0.250 0.450
11 Br 0.250 0.501 0.779
12 Br 0.250 0.999 0.779
13 Br 0.474 0.250 0.450
14 Br 0.498 0.750 0.016
15 Br 0.502 0.250 0.984
16 Br 0.526 0.750 0.550
17 Br 0.750 0.001 0.221
18 Br 0.750 0.499 0.221
19 Br 0.974 0.750 0.550
20 Br 0.998 0.250 0.984



Record 4
Entry from Alexandria via LeMat-Bulk: a relaxed NaRu2PbBr crystal (GGA-PBE).

## Properties
M_tot = 0.77 μB/atom
raw formation energy = 1.1881 eV/atom

Cell lengths 5.126, 5.126, 6.052 Å; angles 90.00, 90.00, 90.00 degrees
Sites, in units of the cell vectors:
1 Na 0.000 0.000 0.000
2 Ru 0.000 0.500 0.500
3 Ru 0.500 0.000 0.500
4 Pb 0.500 0.500 0.500
5 Br 0.500 0.500 0.000



Record 5
Entry from Alexandria via LeMat-Bulk: a relaxed NaRu2PbBr crystal (GGA-PBE).

## Properties
M_tot = 0.00 μB/atom
raw formation energy = 1.1305 eV/atom

Cell lengths 4.656, 4.656, 5.701 Å; angles 90.00, 90.00, 90.00 degrees
Sites, in units of the cell vectors:
1 Na 0.000 0.000 0.000
2 Ru 0.000 0.500 0.500
3 Ru 0.500 0.000 0.500
4 Pb 0.500 0.500 0.000
5 Br 0.500 0.500 0.500



Record 6
Entry from Alexandria via LeMat-Bulk: a relaxed NaPb2SBr crystal (GGA-PBE).

## Properties
M_tot = 0.06 μB/atom
raw formation energy = -0.0578 eV/atom

Cell lengths 5.410, 5.410, 7.897 Å; angles 90.00, 90.00, 90.00 degrees
Sites, in units of the cell vectors:
1 Na 0.000 0.000 0.000
2 Pb 0.000 0.500 0.500
3 Pb 0.500 0.000 0.500
4 S 0.500 0.500 0.500
5 Br 0.500 0.500 0.000



Record 7
Entry from Alexandria via LeMat-Bulk: a relaxed NaPbSBr crystal (GGA-PBE).

## Properties
M_tot = 0.00 μB/atom
raw formation energy = -0.9754 eV/atom

Cell lengths 7.882, 7.882, 7.882 Å; angles 30.54, 30.54, 30.54 degrees
Sites, in units of the cell vectors:
1 Na 0.000 0.000 0.000
2 Pb 0.185 0.185 0.185
3 S 0.586 0.586 0.586
4 Br 0.410 0.410 0.410



Record 8
Entry from Alexandria via LeMat-Bulk: a relaxed NaSbPb2Br8 crystal (GGA-PBE).

## Properties
M_tot = 0.00 μB/atom
raw formation energy = -0.9000 eV/atom

Cell lengths 6.837, 8.902, 7.165 Å; angles 90.00, 90.72, 90.00 degrees
Sites, in units of the cell vectors:
1 Na 0.000 0.000 0.000
2 Sb 0.000 0.500 0.000
3 Pb 0.500 0.246 0.500
4 Pb 0.500 0.754 0.500
5 Br 0.231 0.264 0.152
6 Br 0.231 0.736 0.152
7 Br 0.236 0.500 0.675
8 Br 0.266 0.000 0.661
9 Br 0.734 0.000 0.339
10 Br 0.764 0.500 0.325
11 Br 0.769 0.264 0.848
12 Br 0.769 0.736 0.848



Record 9
Entry from Alexandria via LeMat-Bulk: a relaxed NaScPbBr6 crystal (GGA-PBE).

## Properties
M_tot = 0.00 μB/atom
raw formation energy = -1.4039 eV/atom

Cell lengths 7.340, 7.340, 13.016 Å; angles 90.00, 90.00, 120.00 degrees
Sites, in units of the cell vectors:
1 Na 0.000 0.000 0.000
2 Na 0.000 0.000 0.500
3 Sc 0.333 0.667 0.250
4 Sc 0.667 0.333 0.750
5 Pb 0.333 0.667 0.750
6 Pb 0.667 0.333 0.250
7 Br 0.038 0.370 0.130
8 Br 0.038 0.668 0.370
9 Br 0.332 0.370 0.370
10 Br 0.332 0.962 0.130
11 Br 0.370 0.038 0.630
12 Br 0.370 0.332 0.870
13 Br 0.630 0.668 0.130
14 Br 0.630 0.962 0.370
15 Br 0.668 0.038 0.870
16 Br 0.668 0.630 0.630
17 Br 0.962 0.332 0.630
18 Br 0.962 0.630 0.870



Record 10
Entry from Alexandria via LeMat-Bulk: a relaxed NaPbSeBr crystal (GGA-PBE).

## Properties
M_tot = 0.00 μB/atom
raw formation energy = -1.0053 eV/atom

Cell lengths 7.787, 7.787, 7.787 Å; angles 32.23, 32.23, 32.23 degrees
Sites, in units of the cell vectors:
1 Na 0.000 0.000 0.000
2 Pb 0.511 0.511 0.511
3 Se 0.249 0.249 0.249
4 Br 0.741 0.741 0.741



Record 11
Entry from Alexandria via LeMat-Bulk: a relaxed NaSmPbBr6 crystal (GGA-PBE).

## Properties
M_tot = 0.00 μB/atom
raw formation energy = -1.4699 eV/atom

Cell lengths 7.444, 7.444, 13.210 Å; angles 90.00, 90.00, 120.00 degrees
Sites, in units of the cell vectors:
1 Na 0.333 0.667 0.250
2 Na 0.667 0.333 0.750
3 Sm 0.333 0.667 0.750
4 Sm 0.667 0.333 0.250
5 Pb 0.000 0.000 0.000
6 Pb 0.000 0.000 0.500
7 Br 0.012 0.352 0.627
8 Br 0.012 0.660 0.873
9 Br 0.340 0.352 0.873
10 Br 0.340 0.988 0.627
11 Br 0.352 0.012 0.127
12 Br 0.352 0.340 0.373
13 Br 0.648 0.660 0.627
14 Br 0.648 0.988 0.873
15 Br 0.660 0.012 0.373
16 Br 0.660 0.648 0.127
17 Br 0.988 0.340 0.127
18 Br 0.988 0.648 0.373



Record 12
Entry from Alexandria via LeMat-Bulk: a relaxed NaSnPbBr6 crystal (GGA-PBE).

## Properties
M_tot = 0.00 μB/atom
raw formation energy = -0.9025 eV/atom

Cell lengths 6.957, 6.957, 13.292 Å; angles 90.00, 90.00, 90.00 degrees
Sites, in units of the cell vectors:
1 Na 0.000 0.000 0.000
2 Na 0.500 0.500 0.500
3 Sn 0.000 0.000 0.333
4 Sn 0.500 0.500 0.833
5 Pb 0.000 0.000 0.668
6 Pb 0.500 0.500 0.168
7 Br 0.192 0.192 0.175
8 Br 0.194 0.194 0.489
9 Br 0.212 0.212 0.835
10 Br 0.288 0.712 0.335
11 Br 0.306 0.694 0.989
12 Br 0.308 0.692 0.675
13 Br 0.692 0.308 0.675
14 Br 0.694 0.306 0.989
15 Br 0.712 0.288 0.335
16 Br 0.788 0.788 0.835
17 Br 0.806 0.806 0.489
18 Br 0.808 0.808 0.175